Crystalline AlTeBr2 at its relaxed geometry, computed with PBE.

Cell lengths 5.196, 5.196, 5.196 Å; angles 60.00, 60.00, 60.00 degrees
Sites, in units of the cell vectors:
Al  0.000  0.000  0.000
Te  0.250  0.250  0.250
Br  0.500  0.500  0.500
Br  0.750  0.750  0.750

space group	F-43m
energy above the lowest structure with this stoichiometry	773	meV per atom
DFT total energy	-9.51	eV for the cell shown

***

Crystalline AlTeBr2 at its relaxed geometry, computed with PBE.

Cell lengths 7.510, 7.510, 7.510 Å; angles 97.50, 97.50, 137.66 degrees
Sites, in units of the cell vectors:
Al  0.000  0.000  0.000
Al  0.750  0.250  0.500
Te  0.250  0.750  0.500
Te  0.500  0.500  0.000
Br  0.375  0.207  0.332
Br  0.793  0.125  0.168
Br  0.875  0.043  0.668
Br  0.957  0.625  0.832

space group	I-42d
energy above the lowest structure with this stoichiometry	421	meV per atom
DFT total energy	-21.84	eV for the cell shown

***

Crystalline AlTeBr at its relaxed geometry, computed with PBE.

Cell lengths 4.890, 4.890, 4.890 Å; angles 60.00, 60.00, 60.00 degrees
Sites, in units of the cell vectors:
Al  0.000  0.000  0.000
Te  0.250  0.250  0.250
Br  0.750  0.750  0.750

space group	F-43m
DFT total energy	-8.93	eV for the cell shown

***

Crystalline AlTeBr at its relaxed geometry, computed with PBE.

Cell lengths 8.826, 7.841, 4.838 Å; angles 84.71, 62.21, 33.08 degrees
Sites, in units of the cell vectors:
Al  0.000  0.000  0.000
Te  0.614  0.614  0.386
Br  0.377  0.377  0.623

space group	Fmm2
DFT total energy	-9.49	eV for the cell shown

***

Crystalline AlTeBr2 at its relaxed geometry, computed with PBE.

Cell lengths 5.572, 5.572, 3.497 Å; angles 90.00, 90.00, 90.00 degrees
Sites, in units of the cell vectors:
Al  0.000  0.000  0.000
Te  0.500  0.500  0.000
Br  0.000  0.500  0.500
Br  0.500  0.000  0.500

space group	P4/mmm
energy above the lowest structure with this stoichiometry	782	meV per atom
DFT total energy	-9.47	eV for the cell shown

***

Crystalline Al3TeBr at its relaxed geometry, computed with PBE.

Cell lengths 5.717, 5.717, 5.717 Å; angles 90.00, 90.00, 90.00 degrees
Sites, in units of the cell vectors:
Al  0.000  0.000  0.500
Al  0.000  0.500  0.000
Al  0.500  0.000  0.000
Te  0.000  0.000  0.000
Br  0.500  0.500  0.500

space group	Pm-3m
energy above the lowest structure with this stoichiometry	35	meV per atom
DFT total energy	-12.72	eV for the cell shown

***

Crystalline AlTe4Br at its relaxed geometry, computed with PBE.

Cell lengths 6.379, 6.379, 6.379 Å; angles 60.00, 60.00, 60.00 degrees
Sites, in units of the cell vectors:
Al  0.000  0.000  0.000
Te  0.375  0.375  0.375
Te  0.375  0.375  0.874
Te  0.375  0.874  0.375
Te  0.874  0.375  0.375
Br  0.750  0.750  0.750

space group	F-43m
DFT total energy	-16.15	eV for the cell shown

***

Crystalline AlTeBr2 at its relaxed geometry, computed with PBE.

Cell lengths 3.287, 3.287, 11.633 Å; angles 90.00, 90.00, 90.00 degrees
Sites, in units of the cell vectors:
Al  0.000  0.000  0.000
Te  0.000  0.000  0.500
Br  0.500  0.500  0.144
Br  0.500  0.500  0.856

space group	P4/mmm
energy above the lowest structure with this stoichiometry	494	meV per atom
DFT total energy	-10.63	eV for the cell shown

***

Crystalline Al2TeBr8 at its relaxed geometry, computed with PBE.

Cell lengths 7.822, 7.822, 8.308 Å; angles 90.82, 90.82, 76.89 degrees
Sites, in units of the cell vectors:
Al  0.208  0.208  0.303
Al  0.792  0.792  0.697
Te  0.000  0.000  0.000
Br  0.098  0.721  0.780
Br  0.225  0.225  0.576
Br  0.279  0.902  0.220
Br  0.362  0.362  0.156
Br  0.638  0.638  0.844
Br  0.721  0.098  0.780
Br  0.775  0.775  0.424
Br  0.902  0.279  0.220

space group	C2/m
DFT total energy	-33.31	eV for the cell shown

***

Crystalline AlTeBr2 at its relaxed geometry, computed with PBE.

Cell lengths 3.589, 3.589, 10.729 Å; angles 90.00, 90.00, 123.61 degrees
Sites, in units of the cell vectors:
Al  0.000  0.000  0.000
Te  0.000  0.000  0.500
Br  0.500  0.500  0.173
Br  0.500  0.500  0.827

space group	Cmmm
energy above the lowest structure with this stoichiometry	481	meV per atom
DFT total energy	-10.68	eV for the cell shown

***

Crystalline AlTeBr at its relaxed geometry, computed with PBE.

Cell lengths 5.038, 5.038, 5.038 Å; angles 60.00, 60.00, 60.00 degrees
Sites, in units of the cell vectors:
Al  0.000  0.000  0.000
Te  0.750  0.750  0.750
Br  0.500  0.500  0.500

space group	F-43m
DFT total energy	-8.16	eV for the cell shown

***

Crystalline AlTeBr at its relaxed geometry, computed with PBE.

Cell lengths 3.930, 3.930, 7.284 Å; angles 90.00, 90.00, 120.00 degrees
Sites, in units of the cell vectors:
Al  0.000  0.000  0.000
Te  0.667  0.333  0.807
Br  0.333  0.667  0.232

space group	P3m1
DFT total energy	-10.40	eV for the cell shown

***

Crystalline AlTeBr at its relaxed geometry, computed with PBE.

Cell lengths 4.439, 7.146, 7.423 Å; angles 71.09, 80.58, 78.67 degrees
Sites, in units of the cell vectors:
Al  0.000  0.000  0.000
Al  0.096  0.310  0.071
Te  0.597  0.891  0.830
Te  0.786  0.635  0.180
Br  0.386  0.161  0.340
Br  0.389  0.450  0.779

space group	P1
DFT total energy	-19.78	eV for the cell shown

***

Crystalline Al3TeBr at its relaxed geometry, computed with PBE.

Cell lengths 5.496, 5.496, 5.496 Å; angles 90.00, 90.00, 90.00 degrees
Sites, in units of the cell vectors:
Al  0.000  0.000  0.500
Al  0.000  0.500  0.000
Al  0.500  0.000  0.000
Te  0.500  0.500  0.500
Br  0.000  0.000  0.000

space group	Pm-3m
energy above the lowest structure with this stoichiometry	0	meV per atom
DFT total energy	-12.90	eV for the cell shown

***

Crystalline AlTeBr at its relaxed geometry, computed with PBE.

Cell lengths 7.880, 7.880, 7.880 Å; angles 155.27, 155.27, 35.26 degrees
Sites, in units of the cell vectors:
Al  0.000  0.000  0.000
Te  0.632  0.632  0.000
Br  0.389  0.389  0.000

space group	I4mm
DFT total energy	-8.81	eV for the cell shown

***

Crystalline AlTeBr2 at its relaxed geometry, computed with PBE.

Cell lengths 10.385, 10.385, 10.385 Å; angles 19.85, 19.85, 19.85 degrees
Sites, in units of the cell vectors:
Al  0.000  0.000  0.000
Te  0.500  0.500  0.500
Br  0.280  0.280  0.280
Br  0.720  0.720  0.720

space group	R-3m
energy above the lowest structure with this stoichiometry	385	meV per atom
DFT total energy	-11.06	eV for the cell shown

***

Crystalline AlTeBr2 at its relaxed geometry, computed with PBE.

Cell lengths 5.749, 3.412, 7.353 Å; angles 90.00, 112.74, 90.00 degrees
Sites, in units of the cell vectors:
Al  0.000  0.000  0.000
Te  0.500  0.000  0.000
Br  0.131  0.500  0.266
Br  0.869  0.500  0.734

space group	P2/m
energy above the lowest structure with this stoichiometry	17	meV per atom
DFT total energy	-12.54	eV for the cell shown

***

Crystalline AlTeBr2 at its relaxed geometry, computed with PBE.

Cell lengths 7.343, 7.343, 7.622 Å; angles 117.54, 117.54, 25.68 degrees
Sites, in units of the cell vectors:
Al  0.000  0.000  0.000
Te  0.654  0.654  0.313
Br  0.363  0.363  0.989
Br  0.515  0.515  0.762

space group	Cm
energy above the lowest structure with this stoichiometry	74	meV per atom
DFT total energy	-12.31	eV for the cell shown

***

Crystalline AlTeBr2 at its relaxed geometry, computed with PBE.

Cell lengths 4.109, 4.109, 8.366 Å; angles 90.00, 90.00, 90.00 degrees
Sites, in units of the cell vectors:
Al  0.000  0.000  0.000
Te  0.500  0.500  0.043
Br  0.000  0.000  0.722
Br  0.500  0.500  0.347

space group	P4mm
energy above the lowest structure with this stoichiometry	266	meV per atom
DFT total energy	-11.54	eV for the cell shown

***

Crystalline AlTeBr2 at its relaxed geometry, computed with PBE.

Cell lengths 3.444, 4.409, 6.832 Å; angles 90.00, 90.00, 90.00 degrees
Sites, in units of the cell vectors:
Al  0.000  0.000  0.000
Te  0.000  0.000  0.500
Br  0.500  0.500  0.238
Br  0.500  0.500  0.762

space group	Pmmm
energy above the lowest structure with this stoichiometry	849	meV per atom
DFT total energy	-9.21	eV for the cell shown